a) This record from Alexandria describes crystalline Li2PdAu8 at its relaxed geometry. The functional is PBE-GGA.

**Crystal system**: monoclinic
**Spin magnetization**: 0.00 μB per formula unit
**DOS(E_F)**: 0.31 states/eV/atom

Cell lengths 4.060, 6.479, 7.634 Å; angles 104.76, 105.42, 90.00 degrees
Element x y z (fractional)
Au: 0.318 0.092 0.637
Au: 0.682 0.908 0.363
Au: 0.402 0.545 0.805
Au: 0.141 0.194 0.283
Au: 0.598 0.455 0.195
Au: 0.046 0.729 0.092
Au: 0.954 0.271 0.908
Au: 0.859 0.806 0.717
Li: 0.775 0.353 0.550
Li: 0.225 0.647 0.450
Pd: 0.500 0.000 0.000

***

b) This record from Alexandria describes crystalline Li2PdAu8 at its relaxed geometry. The functional is PBE-GGA.

**Crystal system**: orthorhombic
**Spin magnetization**: 0.00 μB per formula unit
**DOS(E_F)**: 0.21 states/eV/atom

Cell lengths 4.039, 8.296, 7.520 Å; angles 123.47, 105.58, 90.00 degrees
Element x y z (fractional)
Pd: 0.500 0.000 0.000
Li: 0.158 0.658 0.316
Li: 0.842 0.342 0.684
Au: 0.000 0.250 0.000
Au: 0.663 0.417 0.325
Au: 0.000 0.750 0.000
Au: 0.663 0.909 0.325
Au: 0.176 0.176 0.352
Au: 0.337 0.583 0.675
Au: 0.824 0.824 0.648
Au: 0.337 0.091 0.675

***

Relative energy table, unit meV/atom: a) 0; b) 42

***

a) This record from Alexandria describes crystalline Li4Pd4Au3 at its relaxed geometry. The functional is PBE-GGA.

**Crystal system**: triclinic
**Spin magnetization**: 0.00 μB per formula unit
**DOS(E_F)**: 0.29 states/eV/atom

Cell lengths 2.756, 4.349, 14.318 Å; angles 81.36, 84.28, 89.89 degrees
Element x y z (fractional)
Au: 0.000 0.000 0.000
Au: 0.131 0.643 0.716
Au: 0.869 0.357 0.284
Pd: 0.523 0.091 0.821
Pd: 0.477 0.909 0.179
Pd: 0.269 0.267 0.465
Pd: 0.731 0.733 0.535
Li: 0.693 0.183 0.635
Li: 0.178 0.447 0.104
Li: 0.822 0.553 0.896
Li: 0.307 0.817 0.365

***

b) This record from Alexandria describes crystalline Li4Pd4Au3 at its relaxed geometry. The functional is PBE-GGA.

**Crystal system**: orthorhombic
**Spin magnetization**: 0.00 μB per formula unit
**DOS(E_F)**: 0.31 states/eV/atom

Cell lengths 2.867, 8.252, 8.418 Å; angles 119.35, 99.80, 90.00 degrees
Element x y z (fractional)
Pd: 0.500 0.800 0.000
Pd: 0.795 0.295 0.591
Pd: 0.205 0.705 0.409
Pd: 0.500 0.200 0.000
Li: 0.335 0.573 0.670
Li: 0.665 0.427 0.330
Li: 0.335 0.097 0.670
Li: 0.665 0.903 0.330
Au: 0.872 0.872 0.743
Au: 0.128 0.128 0.257
Au: 0.000 0.500 0.000

***

Relative energy table, unit meV/atom: a) 0; b) 108

***

a) This record from Alexandria describes crystalline Li2Pd3Au4 at its relaxed geometry. The functional is PBE-GGA.

**Crystal system**: triclinic
**Spin magnetization**: 0.00 μB per formula unit
**DOS(E_F)**: 0.38 states/eV/atom

Cell lengths 4.069, 4.847, 8.470 Å; angles 74.43, 89.91, 65.24 degrees
Element x y z (fractional)
Li: 0.332 0.337 0.776
Li: 0.668 0.663 0.224
Au: 0.002 0.995 0.332
Au: 0.665 0.669 0.890
Au: 0.335 0.331 0.110
Au: 0.998 0.005 0.668
Pd: 0.665 0.669 0.552
Pd: 0.335 0.331 0.448
Pd: 0.000 0.000 0.000

***

b) This record from Alexandria describes crystalline Li2Pd3Au4 at its relaxed geometry. The functional is PBE-GGA.

**Crystal system**: monoclinic
**Spin magnetization**: 0.00 μB per formula unit
**DOS(E_F)**: 0.22 states/eV/atom

Cell lengths 4.025, 6.312, 6.312 Å; angles 107.19, 108.59, 90.00 degrees
Element x y z (fractional)
Li: 0.340 0.999 0.681
Li: 0.660 0.001 0.319
Pd: 0.886 0.327 0.773
Pd: 0.000 0.000 0.000
Pd: 0.114 0.673 0.227
Au: 0.777 0.687 0.553
Au: 0.223 0.313 0.447
Au: 0.553 0.326 0.107
Au: 0.447 0.674 0.893

***

Relative energy table, unit meV/atom: a) 0; b) 15

***

a) This record from Alexandria describes crystalline LiPd4Au2 at its relaxed geometry. The functional is PBE-GGA.

**Crystal system**: triclinic
**Spin magnetization**: 0.00 μB per formula unit
**DOS(E_F)**: 0.76 states/eV/atom

Cell lengths 7.214, 7.156, 7.218 Å; angles 135.22, 106.21, 90.92 degrees
Element x y z (fractional)
Pd: 0.913 0.155 0.242
Pd: 0.507 0.751 0.753
Pd: 0.763 0.017 0.744
Pd: 0.366 0.627 0.261
Pd: 0.368 0.113 0.746
Pd: 0.998 0.750 0.243
Pd: 0.274 0.018 0.255
Pd: 0.914 0.672 0.758
Au: 0.637 0.385 0.747
Au: 0.635 0.878 0.243
Au: 0.560 0.301 0.257
Au: 0.043 0.299 0.740
Li: 0.148 0.153 0.006
Li: 0.124 0.631 0.506

***

b) This record from Alexandria describes crystalline LiPd4Au2 at its relaxed geometry. The functional is PBE-GGA.

**Crystal system**: triclinic
**Spin magnetization**: 0.00 μB per formula unit
**DOS(E_F)**: 1.10 states/eV/atom

Cell lengths 5.641, 6.275, 6.892 Å; angles 111.30, 89.22, 102.91 degrees
Element x y z (fractional)
Au: 0.699 0.402 0.033
Au: 0.767 0.699 0.472
Au: 0.552 0.844 0.177
Au: 0.127 0.122 0.607
Pd: 0.479 0.556 0.750
Pd: 0.408 0.270 0.320
Pd: 0.985 0.557 0.752
Pd: 0.917 0.272 0.325
Pd: 0.335 0.978 0.888
Pd: 0.196 0.409 0.037
Pd: 0.625 0.126 0.608
Pd: 0.053 0.839 0.175
Li: 0.266 0.696 0.462
Li: 0.840 0.980 0.895

***

Relative energy table, unit meV/atom: a) 196; b) 0

***

a) This record from Alexandria describes crystalline LiPd3Au2 at its relaxed geometry. The functional is PBE-GGA.

**Crystal system**: monoclinic
**Spin magnetization**: 0.00 μB per formula unit
**DOS(E_F)**: 0.79 states/eV/atom

Cell lengths 5.227, 5.227, 7.132 Å; angles 82.10, 82.10, 95.37 degrees
Element x y z (fractional)
Pd: 0.842 0.686 0.997
Pd: 0.404 0.596 0.250
Pd: 0.596 0.404 0.750
Pd: 0.314 0.158 0.503
Pd: 0.158 0.314 0.003
Pd: 0.686 0.842 0.497
Li: 0.082 0.918 0.250
Li: 0.918 0.082 0.750
Au: 0.871 0.380 0.374
Au: 0.620 0.129 0.126
Au: 0.380 0.871 0.874
Au: 0.129 0.620 0.626

***

b) This record from Alexandria describes crystalline LiPd3Au2 at its relaxed geometry. The functional is PBE-GGA.

**Crystal system**: orthorhombic
**Spin magnetization**: 0.00 μB per formula unit
**DOS(E_F)**: 0.78 states/eV/atom

Cell lengths 5.575, 7.434, 7.434 Å; angles 141.17, 90.00, 90.00 degrees
Element x y z (fractional)
Pd: 0.500 0.152 0.848
Pd: 0.500 0.848 0.152
Pd: 0.000 0.152 0.848
Pd: 0.000 0.848 0.152
Pd: 0.750 0.226 0.226
Pd: 0.250 0.774 0.774
Au: 0.250 0.672 0.328
Au: 0.750 0.328 0.672
Au: 0.750 0.672 0.328
Au: 0.250 0.328 0.672
Li: 0.750 0.733 0.733
Li: 0.250 0.267 0.267

***

Relative energy table, unit meV/atom: a) 0; b) 14